(1)
Si2Ir | PBE | optimized geometry

As for the energy: -0.5043 Ry/atom. As for the total magnetization: 0.00 μB/cell.

The space group is Pnma (No. 62) and the conventional cell measures 6.403, 3.544 and 7.658 Å, with angles of 90.00, 90.00 and 90.00 degrees. The inequivalent atoms are Si at (0.060, 0.250, 0.150), Si at (0.134, 0.250, 0.561) and Ir at (0.242, 0.750, 0.362).

***

(2)
Si2Ir | PBE | optimized geometry

As for the energy: -0.4841 Ry/atom. As for the total magnetization: 0.00 μB/cell.

The space group is P-3m1 (No. 164) and the conventional cell measures 4.3416, 4.3416 and 2.7595 Å, with angles of 90.00, 90.00 and 120.00 degrees. The inequivalent atoms are Si at (0.3333, 0.6667, 0.0463) and Ir at (0.0000, 0.0000, 0.0000).

***

(3)
Si2Ir | PBE | optimized geometry

As for the energy: -0.5029 Ry/atom. As for the total magnetization: 0.00 μB/cell.

The space group is P-62m (No. 189) and the conventional cell measures 6.6133, 6.6133 and 3.4285 Å, with angles of 90.00, 90.00 and 120.00 degrees. The inequivalent atoms are Si at (0.0000, 0.2715, 0.0000), Si at (0.0000, 0.6151, 0.5000), Ir at (0.0000, 0.0000, 0.5000) and Ir at (0.3333, 0.6667, 0.0000).

***

(4)
Si4Ir3 | PBE | optimized geometry

As for the energy: -0.5326 Ry/atom. As for the total magnetization: 0.00 μB/cell.

The space group is I4/mmm (No. 139) and the conventional cell measures 3.305, 3.305 and 17.999 Å, with angles of 90.00, 90.00 and 90.00 degrees. The inequivalent atoms are Si at (0.000, 0.000, 0.067), Si at (0.000, 0.000, 0.347), Ir at (0.000, 0.000, 0.196) and Ir at (0.000, 0.000, 0.500).

***

(5)
SiIr3 | PBE | optimized geometry

As for the energy: -0.6031 Ry/atom. As for the total magnetization: 1.68 μB/cell.

The space group is R-3m (No. 166, hexagonal axes) and the conventional cell measures 2.7984, 2.7984 and 24.8991 Å, with angles of 90.00, 90.00 and 120.00 degrees. The inequivalent atoms are Si at (0.0000, 0.0000, 0.0000), Ir at (0.0000, 0.0000, 0.2581) and Ir at (0.0000, 0.0000, 0.5000).

***

(6)
Sm2Si3Ir3 | PBE | optimized geometry

As for the energy: -0.4284 Ry/atom. As for the total magnetization: 0.00 μB/cell.

The space group is P4/mmm (No. 123) and the conventional cell measures 2.829, 2.829 and 20.287 Å, with angles of 90.00, 90.00 and 90.00 degrees. The inequivalent atoms are Sm at (0.000, 0.000, 0.244), Si at (0.000, 0.000, 0.000), Si at (0.000, 0.000, 0.386), Ir at (0.000, 0.000, 0.111) and Ir at (0.000, 0.000, 0.500).

***

(7)
Sm4Si3Ir | PBE | optimized geometry

As for the energy: -0.4612 Ry/atom. As for the total magnetization: 0.00 μB/cell.

The space group is Pmm2 (No. 25) and the conventional cell measures 3.943, 4.336 and 10.897 Å, with angles of 90.00, 90.00 and 90.00 degrees. The inequivalent atoms are Sm at (0.000, 0.000, 0.000), Sm at (0.000, 0.500, 0.493), Sm at (0.500, 0.000, 0.278), Sm at (0.500, 0.500, 0.782), Si at (0.000, 0.000, 0.704), Si at (0.000, 0.500, 0.207), Si at (0.500, 0.000, 0.564) and Ir at (0.500, 0.500, 0.066).

***

(8)
Sm2Si5Ir3 | PBE | optimized geometry

As for the energy: -0.5357 Ry/atom. As for the total magnetization: 0.00 μB/cell.

The space group is C2/c (No. 15) and the conventional cell measures 11.598, 11.589 and 5.889 Å, with angles of 90.00, 120.32 and 90.00 degrees. The inequivalent atoms are Sm at (0.231, 0.130, 0.231), Si at (0.000, 0.001, 0.250), Si at (0.000, 0.273, 0.250), Si at (0.000, 0.274, 0.750), Si at (0.154, 0.393, 0.155), Ir at (0.000, 0.500, 0.250) and Ir at (0.113, 0.139, 0.614).

***

(9)
SmSi2Ir | PBE | optimized geometry

As for the energy: -0.5149 Ry/atom. As for the total magnetization: 0.00 μB/cell.

The space group is R-3m (No. 166, hexagonal axes) and the conventional cell measures 4.1011, 4.1011 and 15.1128 Å, with angles of 90.00, 90.00 and 120.00 degrees. The inequivalent atoms are Sm at (0.0000, 0.0000, 0.0000), Si at (0.0000, 0.0000, 0.2108) and Ir at (0.0000, 0.0000, 0.5000).

***

(10)
SmSi2Ir5 | PBE | optimized geometry

As for the energy: -0.5998 Ry/atom. As for the total magnetization: 0.00 μB/cell.

The space group is Immm (No. 71) and the conventional cell measures 3.900, 6.911 and 9.630 Å, with angles of 90.00, 90.00 and 90.00 degrees. The inequivalent atoms are Sm at (0.000, 0.000, 0.000), Si at (0.000, 0.500, 0.245), Ir at (0.000, 0.200, 0.356) and Ir at (0.000, 0.500, 0.000).

***

(11)
SmSi2Ir | PBE | optimized geometry

As for the energy: -0.5164 Ry/atom. As for the total magnetization: 0.00 μB/cell.

The space group is Immm (No. 71) and the conventional cell measures 4.246, 8.715 and 15.933 Å, with angles of 90.00, 90.00 and 90.00 degrees. The inequivalent atoms are Sm at (0.000, 0.000, 0.206), Sm at (0.000, 0.245, 0.000), Si at (0.000, 0.000, 0.422), Si at (0.000, 0.347, 0.201), Si at (0.000, 0.500, 0.425) and Ir at (0.000, 0.247, 0.354).

***

(12)
Sm6Si2Ir | PBE | optimized geometry

As for the energy: -0.4248 Ry/atom. As for the total magnetization: 0.00 μB/cell.

The space group is P2_1/c (No. 14) and the conventional cell measures 6.385, 8.013 and 11.816 Å, with angles of 90.00, 122.38 and 90.00 degrees. The inequivalent atoms are Sm at (0.072, 0.175, 0.435), Sm at (0.291, 0.677, 0.441), Sm at (0.375, 0.038, 0.241), Si at (0.184, 0.117, 0.754) and Ir at (0.500, 0.000, 0.500).

***

(13)
SmSiIr | PBE | optimized geometry

As for the energy: -0.5307 Ry/atom. As for the total magnetization: 0.00 μB/cell.

The space group is P-6m2 (No. 187) and the conventional cell measures 4.1191, 4.1191 and 4.2482 Å, with angles of 90.00, 90.00 and 120.00 degrees. The inequivalent atoms are Sm at (0.0000, 0.0000, 0.0000), Si at (0.3333, 0.6667, 0.5000) and Ir at (0.6667, 0.3333, 0.5000).

***

(14)
Sm2Si3Ir5 | PBE | optimized geometry

As for the energy: -0.5704 Ry/atom. As for the total magnetization: 0.00 μB/cell.

The space group is Cmc2_1 (No. 36) and the conventional cell measures 4.134, 24.074 and 6.725 Å, with angles of 90.00, 90.00 and 90.00 degrees. The inequivalent atoms are Sm at (0.000, 0.023, 0.000), Sm at (0.000, 0.324, 0.984), Si at (0.000, 0.111, 0.279), Si at (0.000, 0.268, 0.471), Si at (0.000, 0.451, 0.200), Ir at (0.000, 0.100, 0.654), Ir at (0.000, 0.205, 0.172), Ir at (0.000, 0.210, 0.770), Ir at (0.000, 0.367, 0.446) and Ir at (0.000, 0.442, 0.836).

***

(15)
SmSi7Ir3 | PBE | optimized geometry

As for the energy: -0.5145 Ry/atom. As for the total magnetization: 0.00 μB/cell.

The space group is R-3c (No. 167, hexagonal axes) and the conventional cell measures 7.6570, 7.6570 and 20.2975 Å, with angles of 90.00, 90.00 and 120.00 degrees. The inequivalent atoms are Sm at (0.0000, 0.0000, 0.0000), Si at (0.0000, 0.0000, 0.2500), Si at (0.0119, 0.2014, 0.1376) and Ir at (0.0000, 0.3188, 0.2500).

***

(16)
SmSiIr2 | PBE | optimized geometry

As for the energy: -0.5673 Ry/atom. As for the total magnetization: 0.00 μB/cell.

The space group is P4/nmm (No. 129, origin choice 2) and the conventional cell measures 4.014, 4.014 and 9.421 Å, with angles of 90.00, 90.00 and 90.00 degrees. The inequivalent atoms are Sm at (0.250, 0.250, 0.207), Si at (0.250, 0.250, 0.641), Ir at (0.250, 0.250, 0.886) and Ir at (0.250, 0.750, 0.500).

***

(17)
SmSi4Ir4 | PBE | optimized geometry

As for the energy: -0.5539 Ry/atom. As for the total magnetization: 0.00 μB/cell.

The space group is I4/m (No. 87) and the conventional cell measures 8.763, 8.763 and 4.094 Å, with angles of 90.00, 90.00 and 90.00 degrees. The inequivalent atoms are Sm at (0.000, 0.000, 0.000), Si at (0.166, 0.275, 0.500) and Ir at (0.088, 0.649, 0.500).

***

(18)
SmSi2Ir2 | PBE | optimized geometry

As for the energy: -0.5666 Ry/atom. As for the total magnetization: 0.00 μB/cell.

The space group is P4/nmm (No. 129, origin choice 2) and the conventional cell measures 4.170, 4.170 and 9.875 Å, with angles of 90.00, 90.00 and 90.00 degrees. The inequivalent atoms are Sm at (0.250, 0.250, 0.244), Si at (0.250, 0.250, 0.630), Si at (0.250, 0.750, 0.000), Ir at (0.250, 0.250, 0.873) and Ir at (0.250, 0.750, 0.500).

***

(19)
SmSi2Ir2 | PBE | optimized geometry

As for the energy: -0.5548 Ry/atom. As for the total magnetization: 0.00 μB/cell.

The space group is I4/mmm (No. 139) and the conventional cell measures 4.221, 4.221 and 9.943 Å, with angles of 90.00, 90.00 and 90.00 degrees. The inequivalent atoms are Sm at (0.000, 0.000, 0.000), Si at (0.000, 0.500, 0.250) and Ir at (0.000, 0.000, 0.368).

***

(20)
Sm2Si3Ir2 | PBE | optimized geometry

As for the energy: -0.5137 Ry/atom. As for the total magnetization: 0.00 μB/cell.

The space group is C2/m (No. 12) and the conventional cell measures 10.710, 4.047 and 6.929 Å, with angles of 90.00, 118.95 and 90.00 degrees. The inequivalent atoms are Sm at (0.142, 0.000, 0.268), Si at (0.000, 0.500, 0.500), Si at (0.140, 0.500, 0.933) and Ir at (0.135, 0.000, 0.721).

***

| no. | E_form (uncorrected) (eV per atom) |
| --- | --- |
| 1 | -0.2928 |
| 2 | -0.0181 |
| 3 | -0.2734 |
| 4 | -0.3505 |
| 5 | -0.2040 |
| 6 | 0.7071 |
| 7 | -0.7741 |
| 8 | -0.9747 |
| 9 | -0.8993 |
| 10 | -0.6768 |
| 11 | -0.9196 |
| 12 | -0.4433 |
| 13 | -0.8857 |
| 14 | -0.7594 |
| 15 | -0.7032 |
| 16 | -0.7531 |
| 17 | -0.6639 |
| 18 | -1.0516 |
| 19 | -0.8914 |
| 20 | -0.7847 |